Entry 1:
A relaxed BaNdY crystal, computed with GGA-PBE.

Properties
ΔE_f = 0.5 eV/f.u.

Unit cell a=3.827 b=3.827 c=16.665 alpha=90.00 beta=90.00 gamma=90.00
Fractional coordinates of all 6 atoms:
Ba 0.000 0.000 0.000
Ba 0.500 0.500 0.500
Nd 0.000 0.000 0.681
Nd 0.500 0.500 0.181
Y 0.000 0.000 0.319
Y 0.500 0.500 0.819

=====

Entry 2:
A relaxed Sb3C5 crystal, computed with GGA-PBE.

Properties
ΔE_f (raw) = 1233 meV per atom

Unit cell a=5.780 b=5.458 c=8.443 alpha=90.00 beta=107.38 gamma=90.00
Fractional coordinates of all 16 atoms:
Sb 0.117 0.250 0.246
Sb 0.284 0.750 0.505
Sb 0.300 0.250 0.752
Sb 0.700 0.750 0.248
Sb 0.716 0.250 0.495
Sb 0.883 0.750 0.754
C 0.072 0.750 0.246
C 0.349 0.250 0.512
C 0.428 0.250 0.141
C 0.495 0.028 0.078
C 0.495 0.472 0.078
C 0.505 0.528 0.922
C 0.505 0.972 0.922
C 0.572 0.750 0.859
C 0.651 0.750 0.488
C 0.928 0.250 0.754

=====

Entry 3:
A relaxed Hf2In2Ag3 crystal, computed with GGA-PBE.

Properties
ΔE_f = -0.3 eV/f.u.

Unit cell a=10.973 b=3.265 c=7.952 alpha=90.00 beta=97.26 gamma=90.00
Fractional coordinates of all 14 atoms:
Hf 0.139 0.000 0.426
Hf 0.361 0.500 0.574
Hf 0.639 0.500 0.426
Hf 0.861 0.000 0.574
In 0.091 0.500 0.738
In 0.409 0.000 0.262
In 0.591 0.000 0.738
In 0.909 0.500 0.262
Ag 0.000 0.000 0.000
Ag 0.203 0.500 0.135
Ag 0.297 0.000 0.865
Ag 0.500 0.500 0.000
Ag 0.703 0.000 0.135
Ag 0.797 0.500 0.865

=====

Entry 4:
A relaxed CeHRh crystal, computed with GGA-PBE.

Unit cell a=3.097 b=8.369 c=7.482 alpha=90.00 beta=90.00 gamma=90.00
Fractional coordinates of all 12 atoms:
Ce 0.000 0.055 0.000
Ce 0.000 0.348 0.642
Ce 0.000 0.652 0.142
Ce 0.000 0.945 0.500
H 0.500 0.112 0.702
H 0.500 0.154 0.301
H 0.500 0.846 0.801
H 0.500 0.888 0.202
Rh 0.000 0.265 0.330
Rh 0.000 0.372 0.967
Rh 0.000 0.628 0.467
Rh 0.000 0.735 0.830

=====

Entry 5:
A relaxed RbN2OF crystal, computed with GGA-PBE.

Properties
ΔE_f (raw) = 1063 meV per atom

Unit cell a=3.694 b=3.694 c=6.808 alpha=90.00 beta=90.00 gamma=90.00
Fractional coordinates of all 5 atoms:
Rb 0.000 0.000 0.000
N 0.000 0.500 0.500
N 0.500 0.000 0.500
O 0.500 0.500 0.500
F 0.500 0.500 0.000

=====

Entry 6:
A relaxed Cs3Pm3BiTe8 crystal, computed with GGA-PBE.

Properties
ΔE_f (raw) = -1126 meV per atom

Unit cell a=9.112 b=9.112 c=10.613 alpha=115.55 beta=115.55 gamma=59.87
Fractional coordinates of all 15 atoms:
Cs 0.000 0.000 0.000
Cs 0.000 0.500 0.000
Cs 0.500 0.000 0.000
Pm 0.000 0.500 0.500
Pm 0.500 0.000 0.500
Pm 0.500 0.500 0.500
Bi 0.000 0.000 0.500
Te 0.232 0.232 0.693
Te 0.232 0.729 0.693
Te 0.268 0.268 0.305
Te 0.271 0.768 0.307
Te 0.729 0.232 0.693
Te 0.732 0.732 0.695
Te 0.768 0.271 0.307
Te 0.768 0.768 0.307

=====

| no. | uncorrected energy (eV per atom) |
| --- | --- |
| 1 | -4.229 |
| 2 | -6.078 |
| 3 | -4.887 |
| 4 | -5.798 |
| 5 | -3.827 |
| 6 | -4.181 |